Here is a geometry-optimized AlFeP structure from Alexandria via LeMat-Bulk. Energies are from GGA-PBE. Values from VASP.

Values from the calculation:
As for the volume: 39 Å³ per cell. For the density of states at the Fermi level, the calculation gives 2.01 states/eV/f.u. The size of the total moment is 0.61 μB per formula unit. As for the energy of formation: -0.25 eV per atom.

```
&SYSTEM
  ibrav = 0, nat = 3, ntyp = 3
/
ATOMIC_SPECIES
Al 26.98 Al.upf
P 30.97 P.upf
Fe 55.84 Fe.upf
ATOMIC_POSITIONS crystal
Al 0.000 0.000 0.014
P 0.333 0.667 0.628
Fe 0.667 0.333 0.358
CELL_PARAMETERS angstrom
-1.656 1.256 1.986
0.055 -2.865 -0.222
4.128 -0.197 3.566
```